# 1
Material: Co8Re5
Method: DFT, PBE
State: relaxed

a = 8.8918 Å, b = 8.8918 Å, c = 8.8918 Å
α = 30.26°, β = 30.26°, γ = 30.26°
Atoms (fractional coordinates):
Co 0.5833 0.0884 0.0884
Co 0.0884 0.5833 0.0884
Co 0.1637 0.1637 0.1637
Co 0.9116 0.9116 0.4167
Co 0.0884 0.0884 0.5833
Co 0.8363 0.8363 0.8363
Co 0.9116 0.4167 0.9116
Co 0.4167 0.9116 0.9116
Re 0.0000 0.0000 0.0000
Re 0.3471 0.3471 0.3471
Re 0.4528 0.4528 0.4528
Re 0.5472 0.5472 0.5472
Re 0.6529 0.6529 0.6529

Calculated values
For the relative energy among the computed polymorphs, the calculation gives 0.053 eV/atom. As for the formation energy: 0.11 eV/atom. As for the space group: R-3m. For the calculated density, the calculation gives 14.72 Mg/m³.

=====

# 2
Material: ZrBPt
Method: DFT, PBE
State: relaxed

a = 4.2651 Å, b = 4.2651 Å, c = 4.2651 Å
α = 60.00°, β = 60.00°, γ = 60.00°
Atoms (fractional coordinates):
B 0.2500 0.2500 0.2500
Pt 0.7500 0.7500 0.7500
Zr 0.0000 0.0000 0.0000

Calculated values
As for the space group: F-43m. For the calculated density, the calculation gives 8.99 Mg/m³. As for the total energy: -6.75 eV/atom.